one | This record from the Alexandria database describes a geometry-optimized CrNi2Rh2 structure. The functional is PBE.

The density of states at the Fermi level comes out at 1.1254 states/eV/atom. For the total magnetization, the calculation gives 0.41 μB per formula unit.

Unit cell a=3.246 b=3.246 c=13.085 alpha=90.00 beta=90.00 gamma=90.00
Space group I4/mmm (No. 139)
Unique sites:
Cr 0.000 0.000 0.000 [2 per cell]
Ni 0.000 0.500 0.250 [4 per cell]
Rh 0.000 0.000 0.399 [4 per cell]

***

two | This record from the Alexandria database describes a geometry-optimized CrNi2Rh2 structure. The functional is PBE.

The density of states at the Fermi level comes out at 1.9452 states/eV/atom. For the total magnetization, the calculation gives 0.00 μB per formula unit.

Unit cell a=6.901 b=6.901 c=2.715 alpha=90.00 beta=90.00 gamma=90.00
Space group P4/mbm (No. 127)
Unique sites:
Cr 0.000 0.000 0.000 [2 per cell]
Ni 0.124 0.376 0.000 [4 per cell]
Rh 0.174 0.674 0.500 [4 per cell]

***

Least stable of them? two.

***

one | This record from the Alexandria database describes a geometry-optimized CrNiRh6 structure. The functional is PBE.

The density of states at the Fermi level comes out at 1.2530 states/eV/atom. For the total magnetization, the calculation gives 0.28 μB per formula unit.

Unit cell a=3.790 b=3.790 c=7.599 alpha=90.00 beta=90.00 gamma=90.00
Space group P4/mmm (No. 123)
Unique sites:
Cr 0.000 0.000 0.000 [1 per cell]
Ni 0.000 0.000 0.500 [1 per cell]
Rh 0.000 0.500 0.248 [4 per cell]
Rh 0.500 0.500 0.000 [1 per cell]
Rh 0.500 0.500 0.500 [1 per cell]

***

two | This record from the Alexandria database describes a geometry-optimized CrNiRh6 structure. The functional is PBE.

The density of states at the Fermi level comes out at 1.3699 states/eV/atom. For the total magnetization, the calculation gives 0.87 μB per formula unit.

Unit cell a=4.976 b=9.266 c=4.952 alpha=90.00 beta=90.32 gamma=90.00
Space group C2/m (No. 12)
Unique sites:
Cr 0.000 0.000 0.000 [2 per cell]
Ni 0.000 0.000 0.500 [2 per cell]
Rh 0.040 0.500 0.252 [4 per cell]
Rh 0.149 0.219 0.249 [8 per cell]

***

Least stable of them? two.

***

one | This record from the Alexandria database describes a geometry-optimized CrNi3Rh4 structure. The functional is PBE.

The density of states at the Fermi level comes out at 1.5777 states/eV/atom. For the total magnetization, the calculation gives 0.59 μB per formula unit.

Unit cell a=20.512 b=2.681 c=4.241 alpha=90.00 beta=101.17 gamma=90.00
Space group C2/m (No. 12)
Unique sites:
Cr 0.000 0.000 0.000 [2 per cell]
Ni 0.000 0.500 0.500 [2 per cell]
Ni 0.158 0.500 0.663 [4 per cell]
Rh 0.097 0.500 0.108 [4 per cell]
Rh 0.230 0.500 0.231 [4 per cell]

***

two | This record from the Alexandria database describes a geometry-optimized CrNi3Rh4 structure. The functional is PBE.

The density of states at the Fermi level comes out at 1.5847 states/eV/atom. For the total magnetization, the calculation gives 1.29 μB per formula unit.

Unit cell a=8.513 b=5.385 c=4.478 alpha=90.00 beta=90.00 gamma=90.00
Space group Pmma (No. 51)
Unique sites:
Cr 0.000 0.000 0.000 [2 per cell]
Ni 0.000 0.500 0.000 [2 per cell]
Ni 0.250 0.000 0.350 [2 per cell]
Ni 0.250 0.500 0.346 [2 per cell]
Rh 0.000 0.248 0.500 [4 per cell]
Rh 0.250 0.253 0.860 [4 per cell]

***

Least stable of them? one.

***

one | This record from the Alexandria database describes a geometry-optimized CrNi6Rh2 structure. The functional is PBE.

The density of states at the Fermi level comes out at 1.4369 states/eV/atom. For the total magnetization, the calculation gives 1.89 μB per formula unit.

Unit cell a=8.153 b=3.591 c=7.699 alpha=90.00 beta=108.98 gamma=90.00
Space group C2/m (No. 12)
Unique sites:
Cr 0.000 0.000 0.000 [2 per cell]
Ni 0.002 0.000 0.665 [4 per cell]
Ni 0.162 0.500 0.551 [4 per cell]
Ni 0.168 0.500 0.888 [4 per cell]
Rh 0.164 0.500 0.221 [4 per cell]

***

two | This record from the Alexandria database describes a geometry-optimized CrNi6Rh2 structure. The functional is PBE.

The density of states at the Fermi level comes out at 1.4141 states/eV/atom. For the total magnetization, the calculation gives 2.04 μB per formula unit.

Unit cell a=10.919 b=3.574 c=5.742 alpha=90.00 beta=108.69 gamma=90.00
Space group C2/m (No. 12)
Unique sites:
Cr 0.000 0.000 0.000 [2 per cell]
Ni 0.115 0.000 0.677 [4 per cell]
Ni 0.170 0.500 0.002 [4 per cell]
Ni 0.224 0.000 0.332 [4 per cell]
Rh 0.054 0.500 0.324 [4 per cell]

***

Least stable of them? one.